LaPtW: relaxed, PBE-GGA.

## Properties
Volume (Å³/cell): 276
ΔE to the lowest computed polymorph (eV per atom): 0.598
Theoretical density (kg/m3): 12473
E_form (meV/atom): 510

Cell: 6.509 6.509 6.509 Å, 90.00 90.00 90.00°
Space group F-43m (No. 216)
Unique sites:
La: 0.000 0.000 0.000
Pt: 0.000 0.000 0.500
W: 0.250 0.250 0.750